Record 1
ScBeCo4Si2: optimized geometry, GGA-PBE.

## Properties
DOS at the Fermi energy, states/eV/cell: 3.0
SG: R-3m
Formation energy from raw total energies, eV per atom: -0.54

Cell: 7.208 7.208 7.208 Å, 31.45 31.45 31.45°
Positions (direct):
Sc (0.000, 0.000, 0.000)
Be (0.500, 0.500, 0.500)
Co (0.130, 0.130, 0.130)
Co (0.393, 0.393, 0.393)
Co (0.607, 0.607, 0.607)
Co (0.870, 0.870, 0.870)
Si (0.243, 0.243, 0.243)
Si (0.757, 0.757, 0.757)

***

Record 2
Sc2BeCo5Si2: optimized geometry, GGA-PBE.

## Properties
DOS at the Fermi energy, states/eV/cell: 5.1
SG: P4/mbm
Formation energy from raw total energies, eV per atom: -0.44

Cell: 9.034 9.034 3.089 Å, 90.00 90.00 90.00°
Positions (direct):
Sc (0.172, 0.328, 0.000)
Sc (0.328, 0.828, 0.000)
Sc (0.672, 0.172, 0.000)
Sc (0.828, 0.672, 0.000)
Be (0.000, 0.000, 0.000)
Be (0.500, 0.500, 0.000)
Co (0.000, 0.500, 0.500)
Co (0.064, 0.800, 0.500)
Co (0.200, 0.064, 0.500)
Co (0.300, 0.564, 0.500)
Co (0.436, 0.300, 0.500)
Co (0.500, 0.000, 0.500)
Co (0.564, 0.700, 0.500)
Co (0.700, 0.436, 0.500)
Co (0.800, 0.936, 0.500)
Co (0.936, 0.200, 0.500)
Si (0.127, 0.627, 0.000)
Si (0.373, 0.127, 0.000)
Si (0.627, 0.873, 0.000)
Si (0.873, 0.373, 0.000)

***

Record 3
ScBeCoSi2: optimized geometry, GGA-PBE.

## Properties
DOS at the Fermi energy, states/eV/cell: 3.1
SG: I-4m2
Formation energy from raw total energies, eV per atom: -0.61
Distance to the lowest polymorph of the same formula, meV per atom: 0

Cell: 5.619 5.619 5.619 Å, 141.92 141.92 54.94°
Positions (direct):
Sc (0.000, 0.000, 0.000)
Be (0.750, 0.250, 0.500)
Co (0.250, 0.750, 0.500)
Si (0.383, 0.383, 0.000)
Si (0.617, 0.617, 0.000)

***

Record 4
Sc2Be2Co5Si: optimized geometry, GGA-PBE.

## Properties
DOS at the Fermi energy, states/eV/cell: 9.5
SG: P4/mbm
Formation energy from raw total energies, eV per atom: -0.44

Cell: 8.881 8.881 2.933 Å, 90.00 90.00 90.00°
Positions (direct):
Sc (0.175, 0.325, 0.000)
Sc (0.325, 0.825, 0.000)
Sc (0.675, 0.175, 0.000)
Sc (0.825, 0.675, 0.000)
Be (0.122, 0.622, 0.000)
Be (0.378, 0.122, 0.000)
Be (0.622, 0.878, 0.000)
Be (0.878, 0.378, 0.000)
Co (0.000, 0.500, 0.500)
Co (0.065, 0.794, 0.500)
Co (0.206, 0.065, 0.500)
Co (0.294, 0.565, 0.500)
Co (0.435, 0.294, 0.500)
Co (0.500, 0.000, 0.500)
Co (0.565, 0.706, 0.500)
Co (0.706, 0.435, 0.500)
Co (0.794, 0.935, 0.500)
Co (0.935, 0.206, 0.500)
Si (0.000, 0.000, 0.000)
Si (0.500, 0.500, 0.000)

***

Record 5
ScBeCoSi2: optimized geometry, GGA-PBE.

## Properties
DOS at the Fermi energy, states/eV/cell: 5.4
SG: P4/mmm
Formation energy from raw total energies, eV per atom: 0.49
Distance to the lowest polymorph of the same formula, meV per atom: 1097

Cell: 4.102 4.102 4.489 Å, 90.00 90.00 90.00°
Positions (direct):
Sc (0.000, 0.000, 0.000)
Be (0.000, 0.000, 0.500)
Co (0.500, 0.500, 0.000)
Si (0.000, 0.500, 0.500)
Si (0.500, 0.000, 0.500)

***

Record 6
Sc2Be2Co5Tc: optimized geometry, GGA-PBE.

## Properties
Energy of formation from the pure elements, eV/atom: -0.234
DOS at the Fermi energy, states/eV/cell: 15.3
SG: P4/mbm

Cell: 8.674 8.674 3.210 Å, 90.00 90.00 90.00°
Positions (direct):
Sc (0.177, 0.323, 0.000)
Sc (0.323, 0.823, 0.000)
Sc (0.677, 0.177, 0.000)
Sc (0.823, 0.677, 0.000)
Be (0.117, 0.617, 0.000)
Be (0.383, 0.117, 0.000)
Be (0.617, 0.883, 0.000)
Be (0.883, 0.383, 0.000)
Co (0.000, 0.500, 0.500)
Co (0.067, 0.790, 0.500)
Co (0.210, 0.067, 0.500)
Co (0.290, 0.567, 0.500)
Co (0.433, 0.290, 0.500)
Co (0.500, 0.000, 0.500)
Co (0.567, 0.710, 0.500)
Co (0.710, 0.433, 0.500)
Co (0.790, 0.933, 0.500)
Co (0.933, 0.210, 0.500)
Tc (0.000, 0.000, 0.000)
Tc (0.500, 0.500, 0.000)

***

Record 7
Sc2TiBe2Co5: optimized geometry, GGA-PBE.

## Properties
Energy of formation from the pure elements, eV/atom: -0.375
DOS at the Fermi energy, states/eV/cell: 14.6
SG: P4/mbm

Cell: 8.949 8.949 3.032 Å, 90.00 90.00 90.00°
Positions (direct):
Sc (0.175, 0.325, 0.000)
Sc (0.325, 0.825, 0.000)
Sc (0.675, 0.175, 0.000)
Sc (0.825, 0.675, 0.000)
Ti (0.000, 0.000, 0.000)
Ti (0.500, 0.500, 0.000)
Be (0.120, 0.620, 0.000)
Be (0.380, 0.120, 0.000)
Be (0.620, 0.880, 0.000)
Be (0.880, 0.380, 0.000)
Co (0.000, 0.500, 0.500)
Co (0.067, 0.787, 0.500)
Co (0.213, 0.067, 0.500)
Co (0.287, 0.567, 0.500)
Co (0.433, 0.287, 0.500)
Co (0.500, 0.000, 0.500)
Co (0.567, 0.713, 0.500)
Co (0.713, 0.433, 0.500)
Co (0.787, 0.933, 0.500)
Co (0.933, 0.213, 0.500)

***

Record 8
Sc2Be2VCo5: optimized geometry, GGA-PBE.

## Properties
Energy of formation from the pure elements, eV/atom: -0.334
DOS at the Fermi energy, states/eV/cell: 13.2
SG: P4/mbm

Cell: 8.856 8.856 3.018 Å, 90.00 90.00 90.00°
Positions (direct):
Sc (0.174, 0.326, 0.000)
Sc (0.326, 0.826, 0.000)
Sc (0.674, 0.174, 0.000)
Sc (0.826, 0.674, 0.000)
Be (0.121, 0.621, 0.000)
Be (0.379, 0.121, 0.000)
Be (0.621, 0.879, 0.000)
Be (0.879, 0.379, 0.000)
V (0.000, 0.000, 0.000)
V (0.500, 0.500, 0.000)
Co (0.000, 0.500, 0.500)
Co (0.067, 0.792, 0.500)
Co (0.208, 0.067, 0.500)
Co (0.292, 0.567, 0.500)
Co (0.433, 0.292, 0.500)
Co (0.500, 0.000, 0.500)
Co (0.567, 0.708, 0.500)
Co (0.708, 0.433, 0.500)
Co (0.792, 0.933, 0.500)
Co (0.933, 0.208, 0.500)

***

Record 9
YScBeCo2: optimized geometry, GGA-PBE.

## Properties
Energy of formation from the pure elements, eV/atom: 1.738
DOS at the Fermi energy, states/eV/cell: 6.8
SG: P4/mmm

Cell: 4.588 4.588 5.186 Å, 90.00 90.00 90.00°
Positions (direct):
Y (0.000, 0.000, 0.000)
Sc (0.000, 0.000, 0.500)
Be (0.500, 0.500, 0.500)
Co (0.000, 0.500, 0.000)
Co (0.500, 0.000, 0.000)

***

Record 10
Sc2Be2ZnCo5: optimized geometry, GGA-PBE.

## Properties
Energy of formation from the pure elements, eV/atom: -0.247
DOS at the Fermi energy, states/eV/cell: 21.8
SG: P4/mbm

Cell: 8.809 8.809 3.096 Å, 90.00 90.00 90.00°
Positions (direct):
Sc (0.177, 0.323, 0.000)
Sc (0.323, 0.823, 0.000)
Sc (0.677, 0.177, 0.000)
Sc (0.823, 0.677, 0.000)
Be (0.120, 0.620, 0.000)
Be (0.380, 0.120, 0.000)
Be (0.620, 0.880, 0.000)
Be (0.880, 0.380, 0.000)
Zn (0.000, 0.000, 0.000)
Zn (0.500, 0.500, 0.000)
Co (0.000, 0.500, 0.500)
Co (0.067, 0.786, 0.500)
Co (0.214, 0.067, 0.500)
Co (0.286, 0.567, 0.500)
Co (0.433, 0.286, 0.500)
Co (0.500, 0.000, 0.500)
Co (0.567, 0.714, 0.500)
Co (0.714, 0.433, 0.500)
Co (0.786, 0.933, 0.500)
Co (0.933, 0.214, 0.500)

***

Record 11
Be2CoSe: optimized geometry, GGA-PBE.

## Properties
DOS at the Fermi energy, states/eV/cell: 1.8
SG: Cmmm
Formation energy from raw total energies, eV per atom: 0.18

Cell: 3.726 3.726 3.250 Å, 90.00 90.00 101.20°
Positions (direct):
Be (0.000, 0.500, 0.000)
Be (0.500, 0.000, 0.000)
Co (0.000, 0.000, 0.500)
Se (0.500, 0.500, 0.500)

***

Record 12
Be4CoSe: optimized geometry, GGA-PBE.

## Properties
DOS at the Fermi energy, states/eV/cell: 3.2
SG: F-43m
Formation energy from raw total energies, eV per atom: 0.19

Cell: 4.390 4.390 4.390 Å, 60.00 60.00 60.00°
Positions (direct):
Be (0.123, 0.123, 0.123)
Be (0.123, 0.123, 0.632)
Be (0.123, 0.632, 0.123)
Be (0.632, 0.123, 0.123)
Co (0.750, 0.750, 0.750)
Se (0.500, 0.500, 0.500)

***

What did the seventh record say?
Sc2TiBe2Co5: optimized geometry, GGA-PBE.

## Properties
Energy of formation from the pure elements, eV/atom: -0.375
DOS at the Fermi energy, states/eV/cell: 14.6
SG: P4/mbm

Cell: 8.949 8.949 3.032 Å, 90.00 90.00 90.00°
Positions (direct):
Sc (0.175, 0.325, 0.000)
Sc (0.325, 0.825, 0.000)
Sc (0.675, 0.175, 0.000)
Sc (0.825, 0.675, 0.000)
Ti (0.000, 0.000, 0.000)
Ti (0.500, 0.500, 0.000)
Be (0.120, 0.620, 0.000)
Be (0.380, 0.120, 0.000)
Be (0.620, 0.880, 0.000)
Be (0.880, 0.380, 0.000)
Co (0.000, 0.500, 0.500)
Co (0.067, 0.787, 0.500)
Co (0.213, 0.067, 0.500)
Co (0.287, 0.567, 0.500)
Co (0.433, 0.287, 0.500)
Co (0.500, 0.000, 0.500)
Co (0.567, 0.713, 0.500)
Co (0.713, 0.433, 0.500)
Co (0.787, 0.933, 0.500)
Co (0.933, 0.213, 0.500)